Here is a relaxed structure of La8Al2Ru from Alexandria. Energies are from PBE.

Calculated values
As for the density of states at the Fermi level: 10.47 states/eV per cell. Its magnetization is 0.0 μB/f.u. As for the symmetry: C2/m, No. 12. The value obtained for the calculated total energy is -5.31 eV/atom.

Cell: 5.492 7.003 9.649 Å, 109.74 106.53 90.00°
Atoms (fractional coordinates):
La 0.406 0.591 0.813
La 0.651 0.928 0.302
La 0.791 0.741 0.581
La 0.993 0.217 0.987
La 0.209 0.259 0.419
La 0.349 0.072 0.698
La 0.594 0.409 0.187
La 0.007 0.783 0.013
Al 0.823 0.309 0.647
Al 0.177 0.691 0.353
Ru 0.500 0.000 0.000